## GdZrSi2 (PBE)

Data for a relaxed GdZrSi2 crystal.

```
GdZrSi2
1.0
-1.6835 -3.3283 -0.7464
2.6867 -0.2685 -4.8621
5.6801 -3.6218 3.3387
Si Gd Zr
4 2 2
direct
0.0000 0.3908 0.0399
0.5000 0.1284 0.9631
0.5000 0.8716 0.4631
0.0000 0.6092 0.5399
0.0000 0.8719 0.1778
0.0000 0.1281 0.6778
0.5000 0.3730 0.3192
0.5000 0.6270 0.8192
```

## Properties
As for the space group: No. 26. The polymorph energy (0 for the lowest one) is 0.032 eV/atom.

## Gd3ZrSi4 (PBE)

Data for a relaxed Gd3ZrSi4 crystal.

```
Gd3ZrSi4
1.0
5.6548 0.0000 0.0000
0.0000 3.8274 0.0000
-0.1367 0.0000 7.7845
Si Gd Zr
4 3 1
direct
0.8617 0.5000 0.0275
0.1278 0.0000 0.9586
0.3765 0.0000 0.4680
0.6328 0.5000 0.5500
0.3841 0.5000 0.1765
0.8797 0.0000 0.3203
0.1201 0.5000 0.6808
0.6173 0.0000 0.8182
```

## Properties
As for the space group: No. 6.

## GdZrSi2 (PBE)

Data for a relaxed GdZrSi2 crystal.

```
GdZrSi2
1.0
5.5614 0.0000 0.0000
0.0000 3.8146 0.0000
-0.2279 0.0000 7.4998
Zr Si Gd
2 4 2
direct
0.8843 0.7500 0.6761
0.1157 0.2500 0.3239
0.8703 0.2500 0.9549
0.6410 0.2500 0.4676
0.3590 0.7500 0.5324
0.1297 0.7500 0.0451
0.3750 0.2500 0.8190
0.6250 0.7500 0.1810
```

## Properties
As for the space group: No. 11. The polymorph energy (0 for the lowest one) is 0.025 eV/atom.

E list, top to bottom, in eV per atom: -6.8213, -6.3361, -6.8286